The following is a GGA-PBE calculation of a relaxed structure of Sr4Hg4Bi5, from Alexandria via LeMat-Bulk.

The energy of formation comes out at -0.462 eV per atom.

It has space group I4/m (No. 87), with a = 13.010 Å, b = 13.010 Å, c = 4.918 Å, α = 90.00°, β = 90.00° and γ = 90.00°. Symmetry generates all atoms from Sr at (0.122, 0.231, 0.000), Hg at (0.083, 0.599, 0.000), Bi at (0.000, 0.000, 0.000) and Bi at (0.058, 0.796, 0.500).